1.
Crystalline TiWS2 at its relaxed geometry, computed with GGA-PBE.

Geometry as extended XYZ:
```
12
Lattice="3.0790 0.0000 0.0000 -1.5395 2.6665 0.0000 0.0000 0.0000 23.9733" Properties=species:S:1:pos:R:3 pbc="T T T"
Ti 0.0000 0.0000 0.0000
Ti 0.0000 1.7777 15.9822
Ti 1.5395 0.8888 7.9911
W 0.0000 0.0000 11.9867
W 0.0000 1.7777 3.9956
W 1.5395 0.8888 19.9778
S 0.0000 0.0000 9.6074
S 0.0000 0.0000 14.3659
S 0.0000 1.7777 1.6163
S 0.0000 1.7777 6.3748
S 1.5395 0.8888 17.5985
S 1.5395 0.8888 22.3570
```

Calculated values
crystal system	trigonal
size of the total moment	0.00	Bohr magnetons per cell
SG	R-3m
DOS at the Fermi energy	2.63	states/eV/f.u.
relative energy among the computed polymorphs	0.000	eV per atom
formation energy without anion corrections	-412	meV per atom
DFT total energy	-30.8	eV/f.u.
mass density	7.488	g cm⁻³

2.
Crystalline Ti3WS at its relaxed geometry, computed with GGA-PBE.

Geometry as extended XYZ:
```
5
Lattice="4.4206 0.0000 0.0000 0.0000 4.4206 0.0000 0.0000 0.0000 4.4206" Properties=species:S:1:pos:R:3 pbc="T T T"
Ti 0.0000 0.0000 2.2103
Ti 0.0000 2.2103 0.0000
Ti 2.2103 0.0000 0.0000
W 2.2103 2.2103 2.2103
S 0.0000 0.0000 0.0000
```

Calculated values
crystal system	cubic
size of the total moment	0.00	Bohr magnetons per cell
SG	Pm-3m
DOS at the Fermi energy	4.71	states/eV/f.u.
relative energy among the computed polymorphs	0.000	eV per atom
formation energy without anion corrections	-54	meV per atom
DFT total energy	-41.0	eV/f.u.
mass density	6.911	g cm⁻³

3.
Crystalline TiWS3 at its relaxed geometry, computed with GGA-PBE.

Geometry as extended XYZ:
```
5
Lattice="4.6586 0.0000 0.0000 0.0000 4.6586 0.0000 0.0000 0.0000 4.6586" Properties=species:S:1:pos:R:3 pbc="T T T"
Ti 0.0000 0.0000 0.0000
W 2.3293 2.3293 2.3293
S 0.0000 2.3293 2.3293
S 2.3293 0.0000 2.3293
S 2.3293 2.3293 0.0000
```

Calculated values
crystal system	cubic
size of the total moment	0.20	Bohr magnetons per cell
SG	Pm-3m
DOS at the Fermi energy	9.18	states/eV/f.u.
relative energy among the computed polymorphs	0.000	eV per atom
formation energy without anion corrections	250	meV per atom
DFT total energy	-32.0	eV/f.u.
mass density	5.385	g cm⁻³

4.
Crystalline Ti2WS at its relaxed geometry, computed with GGA-PBE.

Geometry as extended XYZ:
```
16
Lattice="7.3697 0.0000 0.0000 0.0000 7.3697 0.0000 0.0000 0.0000 4.8718" Properties=species:S:1:pos:R:3 pbc="T T T"
Ti 1.2491 5.5273 0.6090
Ti 1.8424 1.2491 4.2628
Ti 1.8424 2.4358 1.8269
Ti 2.4358 5.5273 3.0449
Ti 4.9339 1.8424 3.0449
Ti 5.5273 4.9339 1.8269
Ti 5.5273 6.1207 4.2628
Ti 6.1207 1.8424 0.6090
W 0.0000 0.0000 2.4359
W 0.0000 3.6849 3.6539
W 3.6849 0.0000 1.2180
W 3.6849 3.6849 0.0000
S 0.0000 0.0000 0.0000
S 0.0000 3.6849 1.2180
S 3.6849 0.0000 3.6539
S 3.6849 3.6849 2.4359
```

Calculated values
crystal system	tetragonal
size of the total moment	0.00	Bohr magnetons per cell
SG	I-42d
DOS at the Fermi energy	4.12	states/eV/f.u.
formation energy without anion corrections	4	meV per atom
DFT total energy	-32.9	eV/f.u.
mass density	7.823	g cm⁻³

5.
Crystalline Ti2WS at its relaxed geometry, computed with GGA-PBE.

Geometry as extended XYZ:
```
12
Lattice="2.9588 0.0000 0.0000 -1.4794 2.5624 0.0000 0.0000 0.0000 25.9617" Properties=species:S:1:pos:R:3 pbc="T T T"
Ti 0.0000 0.0000 2.5843
Ti 0.0000 0.0000 23.3774
Ti 0.0000 1.7083 14.7235
Ti 0.0000 1.7083 19.8921
Ti 1.4794 0.8541 6.0696
Ti 1.4794 0.8541 11.2382
W 0.0000 0.0000 0.0000
W 0.0000 1.7083 17.3078
W 1.4794 0.8541 8.6539
S 0.0000 0.0000 12.9809
S 0.0000 1.7083 4.3270
S 1.4794 0.8541 21.6348
```

Calculated values
crystal system	trigonal
size of the total moment	0.00	Bohr magnetons per cell
SG	R-3m
DOS at the Fermi energy	1.64	states/eV/f.u.
formation energy without anion corrections	-65	meV per atom
DFT total energy	-33.1	eV/f.u.
mass density	7.887	g cm⁻³

6.
Crystalline ZrTiWS2 at its relaxed geometry, computed with GGA-PBE.

Geometry as extended XYZ:
```
5
Lattice="4.5237 0.0000 0.0000 0.0000 4.5237 0.0000 0.0000 0.0000 5.1090" Properties=species:S:1:pos:R:3 pbc="T T T"
Zr 0.0000 0.0000 0.0000
Ti 0.0000 0.0000 2.5545
W 2.2619 2.2619 0.0000
S 0.0000 2.2619 2.5545
S 2.2619 0.0000 2.5545
```

Calculated values
crystal system	tetragonal
size of the total moment	2.06	Bohr magnetons per cell
SG	P4/mmm
DOS at the Fermi energy	5.40	states/eV/f.u.
formation energy without anion corrections	851	meV per atom
DFT total energy	-33.4	eV/f.u.
mass density	6.148	g cm⁻³

7.
Crystalline YTi3S at its relaxed geometry, computed with GGA-PBE.

Geometry as extended XYZ:
```
5
Lattice="4.8994 0.0000 0.0000 0.0000 4.8994 0.0000 0.0000 0.0000 4.8994" Properties=species:S:1:pos:R:3 pbc="T T T"
Y 0.0000 0.0000 0.0000
Ti 0.0000 0.0000 2.4497
Ti 0.0000 2.4497 0.0000
Ti 2.4497 0.0000 0.0000
S 2.4497 2.4497 2.4497
```

Calculated values
crystal system	cubic
size of the total moment	2.40	Bohr magnetons per cell
SG	Pm-3m
DOS at the Fermi energy	7.13	states/eV/f.u.
relative energy among the computed polymorphs	2.048	eV per atom
formation energy without anion corrections	1614	meV per atom
DFT total energy	-26.2	eV/f.u.
mass density	3.736	g cm⁻³

8.
Crystalline Y3TiS at its relaxed geometry, computed with GGA-PBE.

Geometry as extended XYZ:
```
5
Lattice="5.3240 0.0000 0.0000 0.0000 5.3240 0.0000 0.0000 0.0000 5.3240" Properties=species:S:1:pos:R:3 pbc="T T T"
Y 0.0000 0.0000 2.6620
Y 0.0000 2.6620 0.0000
Y 2.6620 0.0000 0.0000
Ti 0.0000 0.0000 0.0000
S 2.6620 2.6620 2.6620
```

Calculated values
crystal system	cubic
size of the total moment	0.00	Bohr magnetons per cell
SG	Pm-3m
DOS at the Fermi energy	5.45	states/eV/f.u.
relative energy among the computed polymorphs	0.887	eV per atom
formation energy without anion corrections	466	meV per atom
DFT total energy	-29.1	eV/f.u.
mass density	3.814	g cm⁻³